Model w:
{
  "formula": "KSbPt",
  "functional": "PBE-GGA",
  "state": "relaxed",
  "lattice": [[0.000, 3.440, 3.440], [3.440, 0.000, 3.440], [3.440, 3.440, 0.000]],
  "species": ["K", "Sb", "Pt"],
  "frac_coords": [[0.000, 0.000, 0.000], [0.500, 0.500, 0.500], [0.250, 0.250, 0.250]]
}

---

Model x:
{
  "formula": "KSbPt",
  "functional": "PBE-GGA",
  "state": "relaxed",
  "lattice": [[4.475, 0.000, 0.000], [-2.238, 3.876, 0.000], [0.000, 0.000, 10.797]],
  "species": ["K", "K", "Sb", "Sb", "Pt", "Pt"],
  "frac_coords": [[0.000, 0.000, 0.000], [0.000, 0.000, 0.500], [0.333, 0.667, 0.250], [0.667, 0.333, 0.750], [0.333, 0.667, 0.750], [0.667, 0.333, 0.250]]
}

---

Among the structures above, stability is greatest for model x.